## P
Computed, not measured: a relaxed structure of Cd2CuBi2 at the GGA-PBE level of DFT.

Lattice parameters (Å, degrees): 7.4076 7.4076 4.9639 90.00 90.00 90.00
Closest atoms and distances in Å follow each position.
Fractional coordinates of all 10 atoms:
Cd (0.1518, 0.3482, 0.0000)  6 Bi 3.15-3.41, 1 Cd 3.18
Cd (0.3482, 0.8482, 0.0000)  6 Bi 3.15-3.41, 1 Cd 3.18
Cd (0.6518, 0.1518, 0.0000)  6 Bi 3.15-3.41, 1 Cd 3.18
Cd (0.8482, 0.6518, 0.0000)  6 Bi 3.15-3.41, 1 Cd 3.18
Cu (0.0000, 0.0000, 0.5000)  4 Bi 2.77
Cu (0.5000, 0.5000, 0.5000)  4 Bi 2.77
Bi (0.1637, 0.6637, 0.5000)  2 Cu 2.77
Bi (0.3363, 0.1637, 0.5000)  2 Cu 2.77
Bi (0.6637, 0.8363, 0.5000)  2 Cu 2.77
Bi (0.8363, 0.3363, 0.5000)  2 Cu 2.77

Computed properties:
N(E_F) = 0.51 states/eV per atom

## Q
Computed, not measured: a relaxed structure of Cd2CuBi2 at the GGA-PBE level of DFT.

Lattice parameters (Å, degrees): 7.1750 7.1750 4.9348 90.00 90.00 90.00
Closest atoms and distances in Å follow each position.
Fractional coordinates of all 10 atoms:
Cd (0.1505, 0.3495, 0.0000)  2 Cu 2.73, 1 Cd 3.05
Cd (0.3495, 0.8495, 0.0000)  2 Cu 2.73, 1 Cd 3.05
Cd (0.6505, 0.1505, 0.0000)  2 Cu 2.73, 1 Cd 3.05
Cd (0.8495, 0.6505, 0.0000)  2 Cu 2.73, 1 Cd 3.05
Cu (0.0000, 0.0000, 0.0000)  4 Cd 2.73
Cu (0.5000, 0.5000, 0.0000)  4 Cd 2.73
Bi (0.1659, 0.6659, 0.5000)  6 Cd 3.09-3.35, 1 Bi 3.37
Bi (0.3341, 0.1659, 0.5000)  6 Cd 3.09-3.35, 1 Bi 3.37
Bi (0.6659, 0.8341, 0.5000)  6 Cd 3.09-3.35, 1 Bi 3.37
Bi (0.8341, 0.3341, 0.5000)  6 Cd 3.09-3.35, 1 Bi 3.37

Computed properties:
N(E_F) = 0.63 states/eV per atom

Relative to the most stable structure, the computed energies are P 0.0; Q 2.8, all in kJ/mol of atoms.

## P
Computed, not measured: a relaxed structure of Cd2Cu2Bi at the GGA-PBE level of DFT.

Lattice parameters (Å, degrees): 9.2952 9.2952 9.2952 158.55 158.55 30.52
Closest atoms and distances in Å follow each position.
Fractional coordinates of all 5 atoms:
Cd (0.1297, 0.1297, 0.0000)  4 Cu 2.77
Cd (0.8703, 0.8703, 0.0000)  4 Cu 2.77
Cu (0.2500, 0.7500, 0.5000)  4 Cu 2.45
Cu (0.7500, 0.2500, 0.5000)  4 Cu 2.45
Bi (0.5000, 0.5000, 0.0000)  8 Cd 3.38, 4 Bi 3.46

Computed properties:
N(E_F) = 0.23 states/eV per atom

## Q
Computed, not measured: a relaxed structure of Cd2Cu2Bi at the GGA-PBE level of DFT.

Lattice parameters (Å, degrees): 8.1451 8.1451 3.0170 90.00 90.00 90.00
Closest atoms and distances in Å follow each position.
Fractional coordinates of all 10 atoms:
Cd (0.1284, 0.3716, 0.0000)  6 Cu 2.80-2.86, 3 Cd 2.96-3.02
Cd (0.3716, 0.8716, 0.0000)  6 Cu 2.80-2.86, 3 Cd 2.96-3.02
Cd (0.6284, 0.1284, 0.0000)  6 Cu 2.80-2.86, 3 Cd 2.96-3.02
Cd (0.8716, 0.6284, 0.0000)  6 Cu 2.80-2.86, 3 Cd 2.96-3.02
Cu (0.1673, 0.6673, 0.5000)  6 Cd 2.80-2.86, 2 Cu 3.02
Cu (0.3327, 0.1673, 0.5000)  6 Cd 2.80-2.86, 2 Cu 3.02
Cu (0.6673, 0.8327, 0.5000)  6 Cd 2.80-2.86, 2 Cu 3.02
Cu (0.8327, 0.3327, 0.5000)  6 Cd 2.80-2.86, 2 Cu 3.02
Bi (0.0000, 0.0000, 0.0000)  2 Bi 3.02, 4 Cd 3.20
Bi (0.5000, 0.5000, 0.0000)  2 Bi 3.02, 4 Cd 3.20

Computed properties:
N(E_F) = 0.43 states/eV per atom

Relative to the most stable structure, the computed energies are P 0.0; Q 7.2, all in kJ/mol of atoms.

## P
Computed, not measured: a relaxed structure of Cd2Cu2Bi at the GGA-PBE level of DFT.

Lattice parameters (Å, degrees): 6.9176 6.9176 6.9176 146.23 146.23 48.50
Closest atoms and distances in Å follow each position.
Fractional coordinates of all 5 atoms:
Cd (0.2500, 0.7500, 0.5000)  4 Cu 2.79, 4 Cd 2.84
Cd (0.7500, 0.2500, 0.5000)  4 Cu 2.79, 4 Cd 2.84
Cu (0.0962, 0.0962, 0.0000)  1 Cu 2.43
Cu (0.9038, 0.9038, 0.0000)  1 Cu 2.43
Bi (0.5000, 0.5000, 0.0000)  8 Cu 3.09

Computed properties:
N(E_F) = 0.52 states/eV per atom

## Q
Computed, not measured: a relaxed structure of Cd2Cu2Bi at the GGA-PBE level of DFT.

Lattice parameters (Å, degrees): 7.6944 7.6944 3.3617 90.00 90.00 90.00
Closest atoms and distances in Å follow each position.
Fractional coordinates of all 10 atoms:
Cd (0.1664, 0.3336, 0.0000)  6 Cu 2.81-2.84
Cd (0.3336, 0.8336, 0.0000)  6 Cu 2.81-2.84
Cd (0.6664, 0.1664, 0.0000)  6 Cu 2.81-2.84
Cd (0.8336, 0.6664, 0.0000)  6 Cu 2.81-2.84
Cu (0.1229, 0.6229, 0.5000)  1 Cu 2.67, 6 Cd 2.81-2.84
Cu (0.3771, 0.1229, 0.5000)  1 Cu 2.67, 6 Cd 2.81-2.84
Cu (0.6229, 0.8771, 0.5000)  1 Cu 2.67, 6 Cd 2.81-2.84
Cu (0.8771, 0.3771, 0.5000)  1 Cu 2.67, 6 Cd 2.81-2.84
Bi (0.0000, 0.0000, 0.5000)  4 Cu 3.05, 8 Cd 3.32, 2 Bi 3.36
Bi (0.5000, 0.5000, 0.5000)  4 Cu 3.05, 8 Cd 3.32, 2 Bi 3.36

Computed properties:
N(E_F) = 0.43 states/eV per atom

Relative to the most stable structure, the computed energies are P 2.8; Q 0.0, all in kJ/mol of atoms.

## P
Computed, not measured: a relaxed structure of CdCu2Bi at the GGA-PBE level of DFT.

Lattice parameters (Å, degrees): 9.4517 9.4517 9.4517 153.18 153.18 38.29
Closest atoms and distances in Å follow each position.
Fractional coordinates of all 8 atoms:
Cd (0.0000, 0.0000, 0.0000)  4 Cu 2.66
Cd (0.7500, 0.2500, 0.5000)  4 Cu 2.66
Cu (0.0919, 0.6250, 0.9669)  2 Cd 2.66, 2 Bi 2.78, 2 Cu 2.90
Cu (0.3750, 0.3419, 0.4669)  2 Cd 2.66, 2 Bi 2.78, 2 Cu 2.90
Cu (0.6581, 0.1250, 0.0331)  2 Cd 2.66, 2 Bi 2.78, 2 Cu 2.90
Cu (0.8750, 0.9081, 0.5331)  2 Cd 2.66, 2 Bi 2.78, 2 Cu 2.90
Bi (0.2500, 0.7500, 0.5000)  4 Cu 2.78, 4 Cd 3.10
Bi (0.5000, 0.5000, 0.0000)  4 Cu 2.78, 4 Cd 3.10

Computed properties:
N(E_F) = 0.40 states/eV per atom

## Q
Computed, not measured: a relaxed structure of CdCu2Bi at the GGA-PBE level of DFT.

Lattice parameters (Å, degrees): 4.7755 4.7755 4.7755 60.00 60.00 60.00
Closest atoms and distances in Å follow each position.
Fractional coordinates of all 4 atoms:
Cd (0.0000, 0.0000, 0.0000)  8 Cu 2.92
Cu (0.2500, 0.2500, 0.2500)  4 Cd 2.92, 4 Bi 2.92
Cu (0.7500, 0.7500, 0.7500)  4 Bi 2.92, 4 Cd 2.92
Bi (0.5000, 0.5000, 0.5000)  8 Cu 2.92

Computed properties:
N(E_F) = 0.60 states/eV per atom

Relative to the most stable structure, the computed energies are P 7.6; Q 0.0, all in kJ/mol of atoms.

## P
Computed, not measured: a relaxed structure of DyCdHgBi at the GGA-PBE level of DFT.

Lattice parameters (Å, degrees): 5.3409 5.3409 5.3409 60.00 60.00 60.00
Closest atoms and distances in Å follow each position.
Fractional coordinates of all 4 atoms:
Dy (0.0000, 0.0000, 0.0000)  4 Hg 3.27, 4 Bi 3.27
Cd (0.5000, 0.5000, 0.5000)  4 Bi 3.27, 4 Hg 3.27
Hg (0.2500, 0.2500, 0.2500)  4 Cd 3.27, 4 Dy 3.27
Bi (0.7500, 0.7500, 0.7500)  4 Cd 3.27, 4 Dy 3.27

Computed properties:
N(E_F) = 0.75 states/eV per atom

## Q
Computed, not measured: a relaxed structure of DyCdHgBi at the GGA-PBE level of DFT.

Lattice parameters (Å, degrees): 4.4334 4.6089 5.0843 90.00 90.00 90.00
Closest atoms and distances in Å follow each position.
Fractional coordinates of all 4 atoms:
Dy (0.0000, 0.0000, 0.0000)  4 Bi 3.20, 4 Hg 3.37, 4 Cd 3.43
Cd (0.0000, 0.5000, 0.5000)  4 Hg 3.20, 4 Bi 3.37, 4 Dy 3.43
Hg (0.5000, 0.0000, 0.5000)  4 Cd 3.20, 4 Dy 3.37, 4 Bi 3.43
Bi (0.5000, 0.5000, 0.0000)  4 Dy 3.20, 4 Cd 3.37, 4 Hg 3.43

Computed properties:
N(E_F) = 0.30 states/eV per atom

Relative to the most stable structure, the computed energies are P 15.6; Q 0.0, all in kJ/mol of atoms.

## P
Computed, not measured: a relaxed structure of ErCdBi at the GGA-PBE level of DFT.

Lattice parameters (Å, degrees): 15.2282 3.5867 3.5867 60.01 90.00 90.00
Closest atoms and distances in Å follow each position.
Fractional coordinates of all 6 atoms:
Er (0.1674, 0.0000, 0.0000)  3 Cd 3.20, 3 Bi 3.28-3.29
Er (0.8326, 0.0000, 0.0000)  3 Cd 3.20, 3 Bi 3.28-3.29
Cd (0.3274, 0.3338, 0.3338)  3 Er 3.20, 3 Bi 3.35
Cd (0.6726, 0.3338, 0.3338)  3 Er 3.20, 3 Bi 3.35
Bi (0.0000, 0.3327, 0.3327)  6 Er 3.28-3.29, 6 Bi 3.59
Bi (0.5000, 0.0006, 0.0006)  6 Cd 3.35, 6 Bi 3.59

Computed properties:
N(E_F) = 0.83 states/eV per atom

## Q
Computed, not measured: a relaxed structure of ErCdBi at the GGA-PBE level of DFT.

Lattice parameters (Å, degrees): 4.7596 4.7596 4.3379 90.00 90.00 120.00
Closest atoms and distances in Å follow each position.
Fractional coordinates of all 3 atoms:
Er (0.0000, 0.0000, 0.0000)  3 Cd 3.05, 3 Bi 3.24
Cd (0.3333, 0.6667, 0.3048)  3 Bi 3.04, 3 Er 3.05
Bi (0.6667, 0.3333, 0.6047)  3 Cd 3.04, 3 Er 3.24

Computed properties:
N(E_F) = 0.13 states/eV per atom

Relative to the most stable structure, the computed energies are P 8.8; Q 0.0, all in kJ/mol of atoms.